(1)
# Dy6YSc

An optimized crystal structure of Dy6YSc (PBE, Alexandria via LeMat-Bulk).

Its calculated volume is 245.1 Å³/cell. For the energy above the lowest structure with this stoichiometry, the calculation gives 0 meV/atom. The value obtained for the formation energy from the elements is 0.034 eV/atom. The density comes out at 7.51 g cm⁻³. The value obtained for the total energy is -5.0173 eV per atom.

The space group is P4/mmm (No. 123) and the conventional cell measures 4.974, 4.974 and 9.906 Å, with angles of 90.00, 90.00 and 90.00 degrees. The asymmetric unit holds Dy at (0.000, 0.000, 0.000), Dy at (0.000, 0.000, 0.500), Dy at (0.000, 0.500, 0.244), Y at (0.500, 0.500, 0.500) and Sc at (0.500, 0.500, 0.000).

=====

(2)
# MnCu2Cl4

An optimized crystal structure of MnCu2Cl4 (PBE, Alexandria via LeMat-Bulk).

Its calculated volume is 322.8 Å³/cell. For the energy above the lowest structure with this stoichiometry, the calculation gives 0 meV/atom. The calculation puts the formation energy without anion corrections at -0.687 eV per atom. The density comes out at 3.33 g cm⁻³. The value obtained for the total energy is -4.2230 eV per atom.

The space group is I-42m (No. 121) and the conventional cell measures 5.460, 5.460 and 10.828 Å, with angles of 90.00, 90.00 and 90.00 degrees. The asymmetric unit holds Mn at (0.000, 0.000, 0.000), Cu at (0.000, 0.500, 0.250) and Cl at (0.249, 0.249, 0.128).

=====

(3)
# NiMo2P

An optimized crystal structure of NiMo2P (PBE, Alexandria via LeMat-Bulk).

Its calculated volume is 168.9 Å³/cell. The value obtained for the formation energy from the elements is 0.116 eV/atom. The density comes out at 8.31 g cm⁻³. The value obtained for the total energy is -8.0978 eV per atom.

The space group is R-3m (No. 166, hexagonal axes) and the conventional cell measures 2.8439, 2.8439 and 24.1092 Å, with angles of 90.00, 90.00 and 120.00 degrees. The asymmetric unit holds Ni at (0.0000, 0.0000, 0.0000), Mo at (0.0000, 0.0000, 0.2458) and P at (0.0000, 0.0000, 0.5000).

=====

(4)
# LiGaSb2

An optimized crystal structure of LiGaSb2 (PBE, Alexandria via LeMat-Bulk).

Its calculated volume is 377.1 Å³/cell. The calculation puts the formation energy without anion corrections at -0.123 eV per atom. The density comes out at 5.64 g cm⁻³. The value obtained for the total energy is -3.4196 eV per atom.

The space group is P2/c (No. 13) and the conventional cell measures 5.933, 5.702 and 11.156 Å, with angles of 90.00, 91.99 and 90.00 degrees. The asymmetric unit holds Li at (0.135, 0.166, 0.121), Ga at (0.496, 0.273, 0.617), Sb at (0.009, 0.331, 0.618) and Sb at (0.367, 0.230, 0.362).